Record 1
{"formula": "Zn2Au", "functional": "PBE", "state": "relaxed", "cell": [[11.694, 1.566, 0.764], [10.384, 4.457, 3.479], [-10.951, -4.419, -0.581]], "species": ["Zn", "Zn", "Au", "Zn", "Au", "Zn"], "fractional_positions": [[0.421, 0.421, 0.000], [0.329, 0.829, 0.500], [0.000, 0.000, 0.000], [0.579, 0.579, 0.000], [0.750, 0.250, 0.500], [0.171, 0.671, 0.500]], "e_form_ev_per_atom": -0.080, "space_group": "I4_1/amd"}



Record 2
{"formula": "Li3GaPb2", "functional": "PBE", "state": "relaxed", "cell": [[-4.352, -0.967, -2.056], [-2.239, -7.193, 2.262], [-3.092, 2.631, 5.306]], "species": ["Pb", "Li", "Li", "Li", "Pb", "Pb", "Pb", "Li", "Ga", "Ga", "Li", "Li"], "fractional_positions": [[0.000, 0.000, 0.500], [0.826, 0.347, 0.773], [0.500, 0.000, 0.763], [0.500, 0.000, 0.237], [0.334, 0.331, 0.500], [0.000, 0.000, 0.000], [0.666, 0.669, 0.500], [0.174, 0.653, 0.227], [0.335, 0.330, 0.000], [0.665, 0.670, 0.000], [0.826, 0.347, 0.227], [0.174, 0.653, 0.773]], "e_form_ev_per_atom": -0.235, "space_group": "Cmmm"}



Record 3
{"formula": "HfCu2CF", "functional": "PBE", "state": "relaxed", "cell": [[5.169, 0.000, 0.000], [0.000, 3.921, 0.000], [0.000, 0.000, 5.169]], "species": ["F", "Cu", "Cu", "C", "Hf"], "fractional_positions": [[0.500, 0.500, 0.500], [0.500, 0.000, 0.000], [0.000, 0.000, 0.500], [0.000, 0.500, 0.000], [0.000, 0.000, 0.000]], "space_group": "P4/mmm", "formation_energy_uncorrected_ev_per_fu": 6.53}



Record 4
{"formula": "V2CrAs4", "functional": "PBE", "state": "relaxed", "cell": [[-0.039, -3.244, 0.931], [3.676, 1.250, 4.509], [-6.415, 2.070, 0.826]], "species": ["As", "V", "As", "As", "V", "Cr", "As"], "fractional_positions": [[0.382, 0.697, 0.764], [0.751, 0.759, 0.503], [0.882, 0.221, 0.764], [0.118, 0.779, 0.236], [0.249, 0.241, 0.497], [0.000, 0.000, 0.000], [0.618, 0.303, 0.236]], "e_form_ev_per_atom": -0.282, "space_group": "C2/m"}



Record 5
{"formula": "TbNdDy2Y5", "functional": "PBE", "state": "relaxed", "cell": [[-4.132, 6.153, -4.507], [-6.956, -0.938, 5.098], [8.349, 2.810, 4.529]], "species": ["Dy", "Y", "Y", "Y", "Y", "Y", "Dy", "Y", "Tb", "Y", "Dy", "Nd", "Y", "Tb", "Nd", "Y", "Y", "Dy"], "fractional_positions": [[0.882, 0.618, 0.000], [0.933, 0.433, 0.272], [0.000, 0.000, 0.000], [0.500, 0.500, 0.000], [0.162, 0.067, 0.728], [0.662, 0.162, 0.728], [0.382, 0.882, 0.000], [0.433, 0.338, 0.272], [0.250, 0.250, 0.500], [0.838, 0.933, 0.272], [0.618, 0.118, 0.000], [0.250, 0.750, 0.500], [0.067, 0.567, 0.728], [0.750, 0.750, 0.500], [0.750, 0.250, 0.500], [0.567, 0.662, 0.728], [0.338, 0.838, 0.272], [0.118, 0.382, 0.000]], "e_form_ev_per_atom": 0.269, "space_group": "I4/mcm"}



Record 6
{"formula": "Pr2Zn2NiPt5", "functional": "PBE", "state": "relaxed", "cell": [[3.839, 0.000, 0.000], [0.000, 9.678, 0.000], [0.000, 0.000, 9.678]], "species": ["Ni", "Ni", "Pt", "Pr", "Zn", "Pt", "Pt", "Zn", "Pt", "Pr", "Pt", "Pt", "Pr", "Pt", "Pt", "Pt", "Pt", "Zn", "Pr", "Zn"], "fractional_positions": [[0.000, 0.500, 0.500], [0.000, 0.000, 0.000], [0.500, 0.000, 0.500], [0.000, 0.821, 0.679], [0.000, 0.880, 0.380], [0.500, 0.559, 0.700], [0.500, 0.059, 0.800], [0.000, 0.120, 0.620], [0.500, 0.300, 0.559], [0.000, 0.179, 0.321], [0.500, 0.500, 0.000], [0.500, 0.700, 0.441], [0.000, 0.321, 0.821], [0.500, 0.800, 0.941], [0.500, 0.200, 0.059], [0.500, 0.941, 0.200], [0.500, 0.441, 0.300], [0.000, 0.620, 0.880], [0.000, 0.679, 0.179], [0.000, 0.380, 0.120]], "e_form_ev_per_atom": -0.645, "space_group": "P4/mbm"}



Record 7
{"formula": "SnSb2H", "functional": "PBE", "state": "relaxed", "cell": [[-3.797, 4.816, 0.360], [-1.067, -0.361, -6.424], [-8.076, -6.555, 2.509]], "species": ["Sb", "H", "Sb", "Sb", "H", "Sn", "Sn", "H", "Sb", "Sb", "Sb", "Sn", "Sb", "H", "Sb", "Sn"], "fractional_positions": [[0.278, 0.354, 0.394], [0.995, 0.145, 0.125], [0.756, 0.625, 0.121], [0.722, 0.854, 0.894], [0.995, 0.355, 0.375], [0.743, 0.180, 0.610], [0.257, 0.820, 0.390], [0.005, 0.645, 0.625], [0.244, 0.375, 0.879], [0.722, 0.646, 0.606], [0.278, 0.146, 0.106], [0.257, 0.680, 0.110], [0.756, 0.875, 0.379], [0.005, 0.855, 0.875], [0.244, 0.125, 0.621], [0.743, 0.320, 0.890]], "de_polymorph_mev_per_atom": 0, "space_group": "P2/c"}



Record 8
{"formula": "Ac2ThNb", "functional": "PBE", "state": "relaxed", "cell": [[-2.090, 0.959, 2.680], [-3.510, -0.163, -0.352], [-1.753, -11.358, 5.024]], "species": ["Ac", "Th", "Ac", "Nb"], "fractional_positions": [[0.082, 0.082, 0.754], [0.500, 0.500, 0.500], [0.918, 0.918, 0.246], [0.000, 0.000, 0.000]], "e_form_ev_per_atom": 0.818, "space_group": "R-3m"}



| no. | E (eV for the cell shown) |
| --- | --- |
| 1 | -12.13 |
| 2 | -35.19 |
| 3 | -22.71 |
| 4 | -48.43 |
| 5 | -97.00 |
| 6 | -109.09 |
| 7 | -59.31 |
| 8 | -22.43 |